[1]
A geometry-optimized NiBi3Mo structure. Source: Alexandria, functional PBE.

The energy above the most stable polymorph in this dataset comes out at 0.71 eV/f.u. Its formation energy is 491 kJ/mol of formula units.

It has space group Pm-3m (No. 221), with a = 5.326 Å, b = 5.326 Å, c = 5.326 Å, α = 90.00°, β = 90.00° and γ = 90.00°. The inequivalent atoms are Ni at (0.000, 0.000, 0.000), Bi at (0.000, 0.500, 0.500) and Mo at (0.500, 0.500, 0.500).

[2]
A geometry-optimized CaMnCl2 structure. Source: Alexandria, functional PBE.

The energy above the most stable polymorph in this dataset comes out at 2.54 eV/f.u.

It has space group F-43m (No. 216), with a = 7.289 Å, b = 7.289 Å, c = 7.289 Å, α = 90.00°, β = 90.00° and γ = 90.00°. The inequivalent atoms are Ca at (0.000, 0.000, 0.000), Mn at (0.250, 0.250, 0.750), Cl at (0.000, 0.000, 0.500) and Cl at (0.250, 0.250, 0.250).

Please write out number 1 again, unchanged.
A geometry-optimized NiBi3Mo structure. Source: Alexandria, functional PBE.

The energy above the most stable polymorph in this dataset comes out at 0.71 eV/f.u. Its formation energy is 491 kJ/mol of formula units.

It has space group Pm-3m (No. 221), with a = 5.326 Å, b = 5.326 Å, c = 5.326 Å, α = 90.00°, β = 90.00° and γ = 90.00°. The inequivalent atoms are Ni at (0.000, 0.000, 0.000), Bi at (0.000, 0.500, 0.500) and Mo at (0.500, 0.500, 0.500).